8
Lattice="-1.6198 1.6198 8.4262 1.6198 -1.6198 8.4262 1.6198 1.6198 -8.4262" Properties=species:S:1:pos:R:3 comment="CdC3 (PBE, optimized geometry)" polymorph_energy_mev_per_atom=2251.1 ef_ev_per_atom=2.86 total_magnetization_mub_per_fu=0.00 pbc="T T T"
Cd 0.0000 0.0000 10.8639
Cd 0.0000 0.0000 5.9885
C 0.0000 1.6198 0.0000
C 0.0000 1.6198 4.2131
C 1.6198 0.0000 0.0000
C 1.6198 0.0000 4.2131
C 0.0000 0.0000 0.7993
C 0.0000 0.0000 16.0531